Entry from the Alexandria database: a relaxed structure of Pr7Nd4Mg (PBE-GGA).

The structure belongs to space group C2/m (No. 12); the cell edges are 12.1759, 6.0478 and 13.1741 Å and the angles 90.00°, 116.90° and 90.00°. The distinct sites, in fractional coordinates, are Pr at (0.0000, 0.0000, 0.0000), Pr at (0.0983, 0.5000, 0.2727), Pr at (0.1355, 0.0000, 0.4810), Pr at (0.2031, 0.5000, 0.9170), Nd at (0.1316, 0.0000, 0.7756), Nd at (0.1602, 0.5000, 0.6365) and Mg at (0.0000, 0.5000, 0.0000).

The value obtained for the formation enthalpy at 0 K is 20.00 kJ/mol of atoms. As for the total energy: -4.30 eV/atom.